No. 1
# BaTl2Ag

Crystalline BaTl2Ag at its relaxed geometry (PBE, Alexandria via LeMat-Bulk).

Properties
The calculated formation energy is -187 meV/atom. As for the crystal system: tetragonal. The offset from the most stable computed form is 70.8 meV/atom. Its space group is I-4m2.

Unit cell a=5.5965 b=5.5965 c=7.8025 alpha=90.00 beta=90.00 gamma=90.00
Fractional coordinates of all 8 atoms:
1 Ba 0.0000 0.0000 0.0000
2 Ba 0.5000 0.5000 0.5000
3 Tl 0.0000 0.0000 0.5000
4 Tl 0.0000 0.5000 0.2500
5 Tl 0.5000 0.0000 0.7500
6 Tl 0.5000 0.5000 0.0000
7 Ag 0.0000 0.5000 0.7500
8 Ag 0.5000 0.0000 0.2500

No. 2
# Pu2Ti2Sb2C

Crystalline Pu2Ti2Sb2C at its relaxed geometry (PBE, Alexandria via LeMat-Bulk).

Properties
As for the crystal system: tetragonal. Its space group is I4/mmm. Its uncorrected formation energy is -633 meV per atom.

Unit cell a=4.3615 b=4.3615 c=15.5177 alpha=90.00 beta=90.00 gamma=90.00
Fractional coordinates of all 14 atoms:
1 Pu 0.0000 0.0000 0.1603
2 Pu 0.0000 0.0000 0.8397
3 Pu 0.5000 0.5000 0.3397
4 Pu 0.5000 0.5000 0.6603
5 Ti 0.0000 0.5000 0.0000
6 Ti 0.0000 0.5000 0.5000
7 Ti 0.5000 0.0000 0.0000
8 Ti 0.5000 0.0000 0.5000
9 Sb 0.0000 0.0000 0.3711
10 Sb 0.0000 0.0000 0.6289
11 Sb 0.5000 0.5000 0.1289
12 Sb 0.5000 0.5000 0.8711
13 C 0.0000 0.0000 0.0000
14 C 0.5000 0.5000 0.5000

Per-record spin magnetization, μB per formula unit: 0.00, 12.20